YAl2Pb | PBE | relaxed Values from VASP.

Geometry as Quantum ESPRESSO input:
```
&SYSTEM
  ibrav = 0, nat = 4, ntyp = 3
/
ATOMIC_SPECIES
Y 88.91 Y.upf
Al 26.98 Al.upf
Pb 207.20 Pb.upf
ATOMIC_POSITIONS crystal
Y 0.000 0.000 0.000
Al 0.000 0.500 0.500
Al 0.500 0.000 0.500
Pb 0.500 0.500 0.000
CELL_PARAMETERS angstrom
4.510 0.000 0.000
0.000 4.510 0.000
0.000 0.000 4.463
```

Values from the calculation:
Magnetic moment, μB/atom: 0.000
V, Å³/cell: 90.8
ΔH_f (0 K), eV per atom: -0.254
Symmetry: P4/mmm (123)



YAlPb2 | PBE | relaxed Values from VASP.

Geometry as Quantum ESPRESSO input:
```
&SYSTEM
  ibrav = 0, nat = 4, ntyp = 3
/
ATOMIC_SPECIES
Y 88.91 Y.upf
Al 26.98 Al.upf
Pb 207.20 Pb.upf
ATOMIC_POSITIONS crystal
Y 0.000 0.000 0.000
Al 0.000 0.000 0.500
Pb 0.500 0.500 0.268
Pb 0.500 0.500 0.732
CELL_PARAMETERS angstrom
3.970 0.000 0.000
0.000 3.970 0.000
0.000 0.000 6.699
```

Values from the calculation:
Magnetic moment, μB/atom: 0.000
V, Å³/cell: 105.6
ΔH_f (0 K), eV per atom: -0.122
Symmetry: P4/mmm (123)



YAl3Pb | PBE | relaxed Values from VASP.

Geometry as Quantum ESPRESSO input:
```
&SYSTEM
  ibrav = 0, nat = 5, ntyp = 3
/
ATOMIC_SPECIES
Y 88.91 Y.upf
Al 26.98 Al.upf
Pb 207.20 Pb.upf
ATOMIC_POSITIONS crystal
Y 0.000 0.000 0.000
Al 0.000 0.500 0.500
Al 0.500 0.000 0.500
Al 0.500 0.500 0.000
Pb 0.500 0.500 0.500
CELL_PARAMETERS angstrom
5.292 0.000 0.000
0.000 5.292 0.000
0.000 0.000 5.292
```

Values from the calculation:
E above lowest polymorph, meV/atom: 0
Magnetic moment, μB/atom: 0.000
V, Å³/cell: 148.2
ΔH_f (0 K), eV per atom: 0.779
Symmetry: Pm-3m (221)



YAlPb2 | PBE | relaxed Values from VASP.

Geometry as Quantum ESPRESSO input:
```
&SYSTEM
  ibrav = 0, nat = 4, ntyp = 3
/
ATOMIC_SPECIES
Y 88.91 Y.upf
Al 26.98 Al.upf
Pb 207.20 Pb.upf
ATOMIC_POSITIONS crystal
Y 0.000 0.000 0.000
Al 0.750 0.750 0.750
Pb 0.250 0.250 0.250
Pb 0.500 0.500 0.500
CELL_PARAMETERS angstrom
0.000 3.824 3.824
3.824 0.000 3.824
3.824 3.824 0.000
```

Values from the calculation:
Magnetic moment, μB/atom: 0.000
V, Å³/cell: 111.8
ΔH_f (0 K), eV per atom: 0.007
Symmetry: F-43m (216)



YAl2Pb | PBE | relaxed Values from VASP.

Geometry as Quantum ESPRESSO input:
```
&SYSTEM
  ibrav = 0, nat = 4, ntyp = 3
/
ATOMIC_SPECIES
Y 88.91 Y.upf
Al 26.98 Al.upf
Pb 207.20 Pb.upf
ATOMIC_POSITIONS crystal
Y 0.000 0.000 0.000
Al 0.250 0.750 0.500
Al 0.500 0.500 0.000
Pb 0.750 0.250 0.500
CELL_PARAMETERS angstrom
-2.148 2.148 4.900
2.148 -2.148 4.900
2.148 2.148 -4.900
```

Values from the calculation:
Magnetic moment, μB/atom: 0.000
V, Å³/cell: 90.5
ΔH_f (0 K), eV per atom: -0.237
Symmetry: I-4m2 (119)



YAl2Pb | PBE | relaxed Values from VASP.

Geometry as Quantum ESPRESSO input:
```
&SYSTEM
  ibrav = 0, nat = 4, ntyp = 3
/
ATOMIC_SPECIES
Y 88.91 Y.upf
Al 26.98 Al.upf
Pb 207.20 Pb.upf
ATOMIC_POSITIONS crystal
Y 0.000 0.000 0.000
Al 0.501 0.000 0.445
Al 0.501 0.500 0.223
Pb 0.498 0.500 0.731
CELL_PARAMETERS angstrom
3.320 0.000 0.000
0.000 4.749 0.000
-0.005 0.000 6.036
```

Values from the calculation:
Magnetic moment, μB/atom: 0.000
V, Å³/cell: 95.2
ΔH_f (0 K), eV per atom: -0.135
Symmetry: Pm (6)